SrSm4Rh4: relaxed, PBE.

Lattice parameters (Å, degrees): 9.2127 9.2127 5.6801 90.00 90.00 90.00
Space group P4_2/n (No. 86, origin choice 2)
One atom of each set of equivalent atoms:
Sr1 0.2500 0.2500 0.2500 (multiplicity 2)
Sm1 0.0801 0.6515 0.1647 (multiplicity 8)
Rh1 0.0482 0.6139 0.6615 (multiplicity 8)

Output
**D(E_F)**: 6.72 states/eV/cell
**Energy relative to the elements**: -0.52 eV/atom
**Volume**: 26.78 A^3/atom
**Total DFT energy (no corrections)**: -109.331 eV per cell
**Total moment**: 0.0000 μB per atom